(1)
Compound: Rb2NpPO6
Source: the Alexandria database
Functional: PBE-GGA
Structure: optimized geometry

Results
Theoretical density   5.5 g/cm³
Raw formation energy   -2128.8 meV per atom
E_tot   -7.132 eV/atom
Total magnetization   2.00 μB/cell

abc: 6.521 6.521 6.521
angles: 129.20 129.20 74.69
Fractional coordinates of all 10 atoms:
Rb  0.250  0.750  0.500
Rb  0.750  0.250  0.500
Np  0.000  0.000  0.000
P  0.500  0.500  0.000
O  0.183  0.183  0.000
O  0.294  0.294  0.588
O  0.294  0.706  0.000
O  0.706  0.294  0.000
O  0.706  0.706  0.412
O  0.817  0.817  0.000

***

(2)
Compound: PuGe2Ir
Source: the Alexandria database
Functional: PBE-GGA
Structure: optimized geometry

Results
Theoretical density   12.7 g/cm³
Energy of formation from the pure elements   -2.071 eV per formula unit
E_tot   -8.625 eV/atom
Total magnetization   5.11 μB/cell

abc: 5.528 5.528 5.528
angles: 44.78 44.78 44.78
Fractional coordinates of all 4 atoms:
Pu  0.000  0.000  0.000
Ge  0.222  0.222  0.222
Ge  0.778  0.778  0.778
Ir  0.500  0.500  0.500

***

(3)
Compound: La5CeAs6
Source: the Alexandria database
Functional: PBE-GGA
Structure: optimized geometry

Results
Theoretical density   6.1 g/cm³
Energy of formation from the pure elements   -18.627 eV per formula unit
E_tot   -6.425 eV/atom
Total magnetization   0.56 μB/cell

abc: 7.536 7.536 7.537
angles: 99.60 99.60 120.00
Fractional coordinates of all 12 atoms:
La  0.000  0.000  0.000
La  0.166  0.834  0.500
La  0.332  0.668  0.000
La  0.668  0.332  0.000
La  0.834  0.166  0.500
Ce  0.500  0.500  0.500
As  0.092  0.418  0.254
As  0.256  0.256  0.746
As  0.418  0.092  0.254
As  0.582  0.908  0.746
As  0.744  0.744  0.254
As  0.908  0.582  0.746

***

(4)
Compound: CePa2
Source: the Alexandria database
Functional: PBE-GGA
Structure: optimized geometry

Results
Theoretical density   12.7 g/cm³
Energy of formation from the pure elements   0.515 eV per formula unit
E_tot   -8.137 eV/atom
Total magnetization   0.00 μB/cell

abc: 6.066 6.066 6.066
angles: 60.00 60.00 60.00
Fractional coordinates of all 6 atoms:
Ce  0.125  0.125  0.125
Ce  0.875  0.875  0.875
Pa  0.000  0.500  0.500
Pa  0.500  0.000  0.500
Pa  0.500  0.500  0.000
Pa  0.500  0.500  0.500

***

(5)
Compound: MnTe2Au
Source: the Alexandria database
Functional: PBE-GGA
Structure: optimized geometry

Results
Theoretical density   9.4 g/cm³
Raw formation energy   420.1 meV per atom
E_tot   -4.262 eV/atom
Total magnetization   0.03 μB/cell

abc: 3.980 3.980 5.634
angles: 90.00 90.00 90.00
Fractional coordinates of all 4 atoms:
Mn  0.000  0.000  0.000
Te  0.000  0.000  0.500
Te  0.500  0.500  0.000
Au  0.500  0.500  0.500

***

(6)
Compound: NdPu2ThP4
Source: the Alexandria database
Functional: PBE-GGA
Structure: optimized geometry

Results
Theoretical density   8.5 g/cm³
Energy of formation from the pure elements   -10.738 eV per formula unit
E_tot   -9.154 eV/atom
Total magnetization   0.09 μB/cell

abc: 7.044 4.093 7.073
angles: 90.00 109.75 90.00
Fractional coordinates of all 8 atoms:
Nd  0.000  0.000  0.000
Pu  0.500  0.000  0.500
Pu  0.500  0.500  0.000
Th  0.000  0.500  0.500
P  0.260  0.000  0.753
P  0.263  0.500  0.258
P  0.737  0.500  0.742
P  0.740  0.000  0.247

***

(7)
Compound: CaSmEuMg
Source: the Alexandria database
Functional: PBE-GGA
Structure: optimized geometry

Results
Theoretical density   4.5 g/cm³
Energy of formation from the pure elements   0.256 eV per formula unit
E_tot   -4.584 eV/atom
Total magnetization   7.57 μB/cell

abc: 5.778 5.778 5.778
angles: 60.00 60.00 60.00
Fractional coordinates of all 4 atoms:
Ca  0.000  0.000  0.000
Sm  0.750  0.750  0.750
Eu  0.250  0.250  0.250
Mg  0.500  0.500  0.500

***

(8)
Compound: Cs2CdBr
Source: the Alexandria database
Functional: PBE-GGA
Structure: optimized geometry

Results
Theoretical density   3.0 g/cm³
Raw formation energy   -721.3 meV per atom
E_tot   -1.795 eV/atom
Total magnetization   0.02 μB/cell

abc: 8.693 8.693 8.693
angles: 109.45 109.45 109.51
Fractional coordinates of all 8 atoms:
Cs  0.082  0.125  0.457
Cs  0.375  0.918  0.043
Cs  0.668  0.625  0.543
Cs  0.875  0.332  0.957
Cd  0.250  0.750  0.500
Cd  0.500  0.500  0.000
Br  0.000  0.000  0.000
Br  0.750  0.250  0.500

***

(9)
Compound: La2PmEr7
Source: the Alexandria database
Functional: PBE-GGA
Structure: optimized geometry

Results
Theoretical density   8.2 g/cm³
Energy of formation from the pure elements   0.280 eV per formula unit
E_tot   -4.627 eV/atom
Total magnetization   0.00 μB/cell

abc: 6.175 7.130 7.991
angles: 77.39 74.97 73.47
Fractional coordinates of all 10 atoms:
La  0.200  0.299  0.101
La  0.800  0.701  0.899
Pm  0.000  0.000  0.500
Er  0.000  0.500  0.500
Er  0.198  0.800  0.102
Er  0.398  0.102  0.696
Er  0.400  0.600  0.697
Er  0.600  0.400  0.303
Er  0.602  0.898  0.304
Er  0.802  0.200  0.898

***

(10)
Compound: Nb12OsW6
Source: the Alexandria database
Functional: PBE-GGA
Structure: optimized geometry

Results
Theoretical density   11.5 g/cm³
Energy of formation from the pure elements   5.815 eV per formula unit
E_tot   -10.735 eV/atom
Total magnetization   0.00 μB/cell

abc: 7.207 7.207 7.207
angles: 101.43 101.43 101.43
Fractional coordinates of all 19 atoms:
Nb  0.164  0.164  0.423
Nb  0.164  0.423  0.164
Nb  0.175  0.605  0.605
Nb  0.395  0.395  0.825
Nb  0.395  0.825  0.395
Nb  0.423  0.164  0.164
Nb  0.577  0.836  0.836
Nb  0.605  0.175  0.605
Nb  0.605  0.605  0.175
Nb  0.825  0.395  0.395
Nb  0.836  0.577  0.836
Nb  0.836  0.836  0.577
Os  0.500  0.500  0.500
W  0.000  0.263  0.737
W  0.000  0.737  0.263
W  0.263  0.000  0.737
W  0.263  0.737  0.000
W  0.737  0.000  0.263
W  0.737  0.263  0.000

***

(11)
Compound: Sc4HgGeO
Source: the Alexandria database
Functional: PBE-GGA
Structure: optimized geometry

Results
Theoretical density   5.8 g/cm³
Raw formation energy   -1246.8 meV per atom
E_tot   -6.276 eV/atom
Total magnetization   0.00 μB/cell

abc: 7.977 7.977 6.022
angles: 90.00 90.00 135.63
Fractional coordinates of all 14 atoms:
Sc  0.000  0.500  0.000
Sc  0.000  0.500  0.500
Sc  0.079  0.921  0.750
Sc  0.419  0.581  0.750
Sc  0.500  0.000  0.000
Sc  0.500  0.000  0.500
Sc  0.581  0.419  0.250
Sc  0.921  0.079  0.250
Hg  0.389  0.611  0.250
Hg  0.611  0.389  0.750
Ge  0.113  0.887  0.250
Ge  0.887  0.113  0.750
O  0.250  0.750  0.750
O  0.750  0.250  0.250

***

(12)
Compound: NdPd3Rh4O12
Source: the Alexandria database
Functional: PBE-GGA
Structure: optimized geometry

Results
Theoretical density   7.9 g/cm³
Raw formation energy   -950.3 meV per atom
E_tot   -6.413 eV/atom
Total magnetization   0.00 μB/cell

abc: 6.631 6.631 6.631
angles: 109.47 109.47 109.47
Fractional coordinates of all 20 atoms:
Nd  0.000  0.000  0.000
Pd  0.000  0.500  0.500
Pd  0.500  0.000  0.500
Pd  0.500  0.500  0.000
Rh  0.000  0.000  0.500
Rh  0.000  0.500  0.000
Rh  0.500  0.000  0.000
Rh  0.500  0.500  0.500
O  0.127  0.298  0.830
O  0.170  0.468  0.298
O  0.170  0.873  0.702
O  0.298  0.170  0.468
O  0.298  0.830  0.127
O  0.468  0.298  0.170
O  0.532  0.702  0.830
O  0.702  0.170  0.873
O  0.702  0.830  0.532
O  0.830  0.127  0.298
O  0.830  0.532  0.702
O  0.873  0.702  0.170